No. 1
VASP calculation (PBEsol) on a relaxed BaCoCl2 crystal.

POSCAR file:
```
BaCoCl2
1.0
4.0959 0.0000 0.0000
0.0000 4.5091 -0.0310
0.0000 -2.2088 5.3380
Co Ba Cl
1 1 2
direct
0.0000 0.8013 0.4769 Co
0.5000 0.4423 0.7603 Ba
0.0000 0.0168 0.9100 Cl
0.5000 0.7395 0.3529 Cl
```

* distance to the lowest polymorph of the same formula: 0.00 eV/f.u.
* space-group type: Pm (6)
* E: -4.497 eV/atom



No. 2
VASP calculation (PBEsol) on a relaxed Ba2CoCl crystal.

POSCAR file:
```
Ba2CoCl
1.0
-2.1235 2.4896 -3.0111
2.9456 -1.2312 -3.0954
-3.5464 -4.7983 -1.4663
Co Ba Cl
1 2 1
direct
0.0000 0.0000 0.5000 Co
0.0000 0.0000 0.0000 Ba
0.5000 0.5000 0.5000 Ba
0.5000 0.5000 0.0000 Cl
```

* distance to the lowest polymorph of the same formula: 0.00 eV/f.u.
* space-group type: P4/mmm (123)
* E: -4.048 eV/atom



No. 3
VASP calculation (PBEsol) on a relaxed Ba2CoGeCl crystal.

POSCAR file:
```
Ba2CoGeCl
1.0
-2.4457 -1.4322 -2.8842
-3.9507 -1.6948 4.1915
-2.6934 5.3530 -0.3743
Ge Co Ba Cl
1 1 2 1
direct
0.5000 0.5000 0.5000 Ge
0.5000 0.0000 0.0000 Co
0.0000 0.0000 0.5000 Ba
0.0000 0.5000 0.0000 Ba
0.0000 0.0000 0.0000 Cl
```

* space-group type: P4/mmm (123)
* E: -4.129 eV/atom



No. 4
VASP calculation (PBEsol) on a relaxed Ba6Mn4Co2ClO16 crystal.

POSCAR file:
```
Ba6Mn4Co2ClO16
1.0
5.6888 0.0029 0.0000
-2.8399 4.9293 0.0000
0.0000 0.0000 14.5909
Mn Co Ba O Cl
4 2 6 16 1
direct
0.3309 0.6691 0.7573 Mn
0.3309 0.6691 0.2427 Mn
0.3293 0.6707 0.5850 Mn
0.3293 0.6707 0.4150 Mn
0.6648 0.3352 0.8777 Co
0.6648 0.3352 0.1223 Co
0.6628 0.3372 0.3530 Ba
0.6628 0.3372 0.6470 Ba
0.9976 0.0024 0.7960 Ba
0.9976 0.0024 0.2040 Ba
0.3368 0.6632 0.0000 Ba
0.9960 0.0040 0.5000 Ba
0.1816 0.3747 0.6650 O
0.1818 0.8182 0.6654 O
0.6253 0.8184 0.6650 O
0.1816 0.3747 0.3350 O
0.1818 0.8182 0.3346 O
0.6253 0.8184 0.3350 O
0.0305 0.5217 0.5000 O
0.4783 0.9695 0.5000 O
0.4789 0.5211 0.5000 O
0.0128 0.5088 0.8293 O
0.4912 0.9872 0.8293 O
0.4906 0.5094 0.8268 O
0.0128 0.5088 0.1707 O
0.4912 0.9872 0.1707 O
0.4906 0.5094 0.1732 O
0.6434 0.3566 0.0000 O
0.9875 0.0125 0.0000 Cl
```

* space-group type: Amm2 (38)
* E: -7.412 eV/atom



Number 1: ΔE_f (raw) -98.5 kJ/mol of atoms. Number 2: ΔE_f (raw) -51.8 kJ/mol of atoms. Number 3: ΔE_f (raw) -32.1 kJ/mol of atoms. Number 4: ΔE_f (raw) -204.7 kJ/mol of atoms.